Material: GdGaGeAu
Method: DFT, PBE-GGA
State: relaxed

Properties
energy relative to the elements: -9.9 kcal/mol of atoms

Cell: 4.9100 4.9100 4.9100 Å, 60.00 60.00 60.00°
Closest atoms and distances in Å follow each position.
Atoms (fractional coordinates):
Ge: 0.2500 0.2500 0.2500  4 Ga 3.01, 4 Gd 3.01
Gd: 0.0000 0.0000 0.0000  4 Ge 3.01, 4 Au 3.01
Au: 0.7500 0.7500 0.7500  4 Gd 3.01, 4 Ga 3.01
Ga: 0.5000 0.5000 0.5000  4 Au 3.01, 4 Ge 3.01

Material: CaFeTe2
Method: DFT, PBE-GGA
State: relaxed

Properties
ΔE_f (raw): -0.26 eV per atom

Cell: 3.8413 3.8413 7.6247 Å, 90.00 90.00 109.39°
Closest atoms and distances in Å follow each position.
Atoms (fractional coordinates):
Ca: 0.5000 0.5000 0.2500  4 Te 3.07
Te: 0.0000 0.0000 0.9724  2 Fe 2.79, 2 Ca 3.07
Te: 0.0000 0.0000 0.5276  2 Fe 2.79, 2 Ca 3.07
Fe: 0.5000 0.5000 0.7500  4 Te 2.79

no.,spin magnetization (μB per atom),ρ (g/cm3)
1,1.71,9.852
2,0.84,5.494